1.
{"formula": "Al2ZnCu2", "functional": "PBE", "state": "relaxed", "total_energy_ev_per_atom": -3.421, "total_magnetization_mub_per_cell": 0.00, "cell": [[7.500, 0.000, 0.000], [0.000, 7.500, 0.000], [0.000, 0.000, 2.629]], "species": ["Al", "Al", "Al", "Al", "Zn", "Zn", "Cu", "Cu", "Cu", "Cu"], "fractional_positions": [[0.130, 0.370, 0.000], [0.370, 0.870, 0.000], [0.630, 0.130, 0.000], [0.870, 0.630, 0.000], [0.000, 0.000, 0.000], [0.500, 0.500, 0.000], [0.168, 0.668, 0.500], [0.332, 0.168, 0.500], [0.668, 0.832, 0.500], [0.832, 0.332, 0.500]]}


2.
{"formula": "BaV3P", "functional": "PBE", "state": "relaxed", "total_energy_ev_per_atom": -6.391, "total_magnetization_mub_per_cell": 3.75, "cell": [[4.650, 0.000, 0.000], [0.000, 4.650, 0.000], [0.000, 0.000, 4.650]], "species": ["Ba", "V", "V", "V", "P"], "fractional_positions": [[0.000, 0.000, 0.000], [0.000, 0.500, 0.500], [0.500, 0.000, 0.500], [0.500, 0.500, 0.000], [0.500, 0.500, 0.500]]}


3.
{"formula": "Er2ZrPb3", "functional": "PBE", "state": "relaxed", "total_energy_ev_per_atom": -5.079, "total_magnetization_mub_per_cell": 0.00, "cell": [[8.068, -3.169, 0.000], [8.068, 3.169, 0.000], [0.000, 0.000, 6.494]], "species": ["Er", "Er", "Er", "Er", "Zr", "Zr", "Pb", "Pb", "Pb", "Pb", "Pb", "Pb"], "fractional_positions": [[0.070, 0.605, 0.750], [0.395, 0.930, 0.750], [0.605, 0.070, 0.250], [0.930, 0.395, 0.250], [0.500, 0.500, 0.000], [0.500, 0.500, 0.500], [0.000, 0.000, 0.000], [0.000, 0.000, 0.500], [0.133, 0.576, 0.250], [0.424, 0.867, 0.250], [0.576, 0.133, 0.750], [0.867, 0.424, 0.750]]}


4.
{"formula": "V2ZnGa", "functional": "PBE", "state": "relaxed", "total_energy_ev_per_atom": -5.678, "total_magnetization_mub_per_cell": 0.00, "cell": [[10.348, 0.000, 0.000], [0.000, 4.111, 0.000], [0.000, 0.000, 5.279]], "species": ["V", "V", "V", "V", "V", "V", "V", "V", "Zn", "Zn", "Zn", "Zn", "Ga", "Ga", "Ga", "Ga"], "fractional_positions": [[0.076, 0.250, 0.077], [0.188, 0.750, 0.283], [0.312, 0.250, 0.783], [0.424, 0.750, 0.577], [0.576, 0.250, 0.423], [0.688, 0.750, 0.217], [0.812, 0.250, 0.717], [0.924, 0.750, 0.923], [0.062, 0.250, 0.581], [0.438, 0.750, 0.081], [0.562, 0.250, 0.919], [0.938, 0.750, 0.419], [0.171, 0.750, 0.795], [0.329, 0.250, 0.295], [0.671, 0.750, 0.705], [0.829, 0.250, 0.205]]}


5.
{"formula": "AlPbSe2N", "functional": "PBE", "state": "relaxed", "formation_energy_uncorrected_ev_per_atom": 1.022, "total_magnetization_mub_per_cell": 2.10, "cell": [[5.651, 0.000, 0.000], [0.000, 5.651, 0.000], [0.000, 0.000, 4.497]], "species": ["Al", "Pb", "Se", "Se", "N"], "fractional_positions": [[0.000, 0.000, 0.000], [0.500, 0.500, 0.500], [0.000, 0.500, 0.500], [0.500, 0.000, 0.500], [0.500, 0.500, 0.000]]}


6.
{"formula": "Ce3PaNi8", "functional": "PBE", "state": "relaxed", "total_energy_ev_per_atom": -6.499, "total_magnetization_mub_per_cell": 0.00, "cell": [[2.535, 1.463, 8.268], [-2.535, 1.463, 8.268], [0.000, -2.927, 8.268]], "species": ["Ce", "Ce", "Ce", "Pa", "Ni", "Ni", "Ni", "Ni", "Ni", "Ni", "Ni", "Ni"], "fractional_positions": [[0.000, 0.000, 0.000], [0.124, 0.124, 0.124], [0.496, 0.496, 0.496], [0.622, 0.622, 0.622], [0.057, 0.561, 0.561], [0.061, 0.061, 0.563], [0.061, 0.563, 0.061], [0.310, 0.310, 0.310], [0.561, 0.057, 0.561], [0.561, 0.561, 0.057], [0.563, 0.061, 0.061], [0.811, 0.811, 0.811]]}


7.
{"formula": "TaCu2Ag2", "functional": "PBE", "state": "relaxed", "total_energy_ev_per_atom": -4.599, "total_magnetization_mub_per_cell": 0.00, "cell": [[-1.846, 1.846, 6.046], [1.846, -1.846, 6.046], [1.846, 1.846, -6.046]], "species": ["Ta", "Cu", "Cu", "Ag", "Ag"], "fractional_positions": [[0.000, 0.000, 0.000], [0.406, 0.406, 0.000], [0.594, 0.594, 0.000], [0.250, 0.750, 0.500], [0.750, 0.250, 0.500]]}


8.
{"formula": "FeAgHCl2", "functional": "PBE", "state": "relaxed", "total_energy_ev_per_atom": -3.734, "total_magnetization_mub_per_cell": 3.33, "cell": [[4.910, 0.000, 0.000], [0.000, 4.910, 0.000], [0.000, 0.000, 3.395]], "species": ["Fe", "Ag", "H", "Cl", "Cl"], "fractional_positions": [[0.000, 0.000, 0.000], [0.500, 0.500, 0.500], [0.000, 0.000, 0.500], [0.000, 0.500, 0.000], [0.500, 0.000, 0.000]]}


9.
{"formula": "Ce4Tc2Ge", "functional": "PBE", "state": "relaxed", "total_energy_ev_per_atom": -7.250, "total_magnetization_mub_per_cell": 0.99, "cell": [[6.582, 0.000, 0.000], [-1.362, 7.139, 0.000], [-2.137, -3.759, 7.048]], "species": ["Ce", "Ce", "Ce", "Ce", "Ce", "Ce", "Ce", "Ce", "Tc", "Tc", "Tc", "Tc", "Ge", "Ge"], "fractional_positions": [[0.000, 0.000, 0.000], [0.015, 0.253, 0.544], [0.317, 0.870, 0.304], [0.340, 0.411, 0.010], [0.405, 0.816, 0.798], [0.547, 0.406, 0.471], [0.764, 0.433, 0.958], [0.880, 0.767, 0.504], [0.083, 0.660, 0.849], [0.342, 0.132, 0.616], [0.651, 0.239, 0.217], [0.709, 0.998, 0.665], [0.092, 0.457, 0.301], [0.702, 0.852, 0.166]]}


10.
{"formula": "Na2S2O5", "functional": "PBE", "state": "relaxed", "formation_energy_uncorrected_ev_per_atom": -1.538, "total_magnetization_mub_per_cell": 0.00, "cell": [[9.356, 0.000, 0.000], [0.000, 5.513, 0.000], [-7.413, 0.000, 22.127]], "species": ["Na", "Na", "Na", "Na", "Na", "Na", "Na", "Na", "Na", "Na", "Na", "Na", "Na", "Na", "Na", "Na", "S", "S", "S", "S", "S", "S", "S", "S", "S", "S", "S", "S", "S", "S", "S", "S", "O", "O", "O", "O", "O", "O", "O", "O", "O", "O", "O", "O", "O", "O", "O", "O", "O", "O", "O", "O", "O", "O", "O", "O", "O", "O", "O", "O", "O", "O", "O", "O", "O", "O", "O", "O", "O", "O", "O", "O"], "fractional_positions": [[0.082, 0.217, 0.070], [0.082, 0.283, 0.570], [0.156, 0.236, 0.734], [0.156, 0.264, 0.234], [0.342, 0.679, 0.515], [0.342, 0.821, 0.015], [0.414, 0.738, 0.683], [0.414, 0.762, 0.183], [0.586, 0.238, 0.817], [0.586, 0.262, 0.317], [0.658, 0.179, 0.985], [0.658, 0.321, 0.485], [0.844, 0.736, 0.766], [0.844, 0.764, 0.266], [0.918, 0.717, 0.430], [0.918, 0.783, 0.930], [0.027, 0.723, 0.151], [0.027, 0.777, 0.651], [0.175, 0.194, 0.438], [0.175, 0.306, 0.938], [0.328, 0.742, 0.811], [0.328, 0.758, 0.311], [0.466, 0.226, 0.601], [0.466, 0.274, 0.101], [0.534, 0.726, 0.899], [0.534, 0.774, 0.399], [0.672, 0.242, 0.689], [0.672, 0.258, 0.189], [0.825, 0.694, 0.062], [0.825, 0.806, 0.562], [0.973, 0.223, 0.349], [0.973, 0.277, 0.849], [0.021, 0.137, 0.298], [0.021, 0.363, 0.798], [0.071, 0.517, 0.656], [0.071, 0.983, 0.156], [0.130, 0.109, 0.974], [0.130, 0.391, 0.474], [0.144, 0.552, 0.959], [0.144, 0.948, 0.459], [0.150, 0.564, 0.144], [0.150, 0.936, 0.644], [0.349, 0.110, 0.111], [0.349, 0.390, 0.611], [0.358, 0.514, 0.288], [0.358, 0.986, 0.788], [0.370, 0.542, 0.775], [0.370, 0.958, 0.275], [0.418, 0.531, 0.093], [0.418, 0.969, 0.593], [0.486, 0.682, 0.450], [0.486, 0.818, 0.950], [0.514, 0.182, 0.050], [0.514, 0.318, 0.550], [0.582, 0.031, 0.407], [0.582, 0.469, 0.907], [0.630, 0.042, 0.725], [0.630, 0.458, 0.225], [0.642, 0.014, 0.212], [0.642, 0.486, 0.712], [0.651, 0.610, 0.389], [0.651, 0.890, 0.889], [0.850, 0.064, 0.356], [0.850, 0.436, 0.856], [0.856, 0.052, 0.541], [0.856, 0.448, 0.041], [0.870, 0.609, 0.526], [0.870, 0.891, 0.026], [0.929, 0.017, 0.844], [0.929, 0.483, 0.344], [0.979, 0.637, 0.202], [0.979, 0.863, 0.702]]}


11.
{"formula": "UNi2Ru", "functional": "PBE", "state": "relaxed", "total_energy_ev_per_atom": -7.649, "total_magnetization_mub_per_cell": 1.78, "cell": [[4.235, 0.000, 0.000], [-2.118, 3.668, 0.000], [0.000, 0.000, 4.745]], "species": ["U", "Ni", "Ni", "Ru"], "fractional_positions": [[0.000, 0.000, 0.000], [0.000, 0.000, 0.500], [0.333, 0.667, 0.500], [0.667, 0.333, 0.500]]}


12.
{"formula": "Ti2As2Au", "functional": "PBE", "state": "relaxed", "total_energy_ev_per_atom": -6.193, "total_magnetization_mub_per_cell": 1.63, "cell": [[7.193, 0.000, 0.000], [0.000, 7.193, 0.000], [0.000, 0.000, 3.390]], "species": ["Ti", "Ti", "Ti", "Ti", "As", "As", "As", "As", "Au", "Au"], "fractional_positions": [[0.142, 0.358, 0.000], [0.358, 0.858, 0.000], [0.642, 0.142, 0.000], [0.858, 0.642, 0.000], [0.152, 0.652, 0.500], [0.348, 0.152, 0.500], [0.652, 0.848, 0.500], [0.848, 0.348, 0.500], [0.000, 0.000, 0.000], [0.500, 0.500, 0.000]]}